Cr2Ni | PBE | relaxed

Lattice parameters (Å, degrees): 4.0708 4.0708 2.3729 90.00 90.00 120.00
Sites, in units of the cell vectors:
Cr: 0.3333 0.6667 0.1319
Cr: 0.6667 0.3333 0.8681
Ni: 0.0000 0.0000 0.5000

Computed properties:
The calculation puts the energy of formation at 43 kJ/mol of formula units. The symmetry is P-3m1 (164). The total DFT energy (no corrections) is -24.59 eV for the cell shown.



Cr3Ni5 | PBE | relaxed

Lattice parameters (Å, degrees): 6.9797 6.9797 4.6127 90.00 90.00 120.00
Sites, in units of the cell vectors:
Cr: 0.0000 0.4012 0.2500
Cr: 0.0000 0.5988 0.7500
Cr: 0.4012 0.0000 0.2500
Cr: 0.4012 0.4012 0.7500
Cr: 0.5988 0.0000 0.7500
Cr: 0.5988 0.5988 0.2500
Ni: 0.0000 0.2195 0.7500
Ni: 0.0000 0.7805 0.2500
Ni: 0.2195 0.0000 0.7500
Ni: 0.2195 0.2195 0.2500
Ni: 0.3333 0.6667 0.0000
Ni: 0.3333 0.6667 0.5000
Ni: 0.6667 0.3333 0.0000
Ni: 0.6667 0.3333 0.5000
Ni: 0.7805 0.0000 0.2500
Ni: 0.7805 0.7805 0.7500

Computed properties:
The calculation puts the energy of formation at 252 kJ/mol of formula units. The symmetry is P6_3/mcm (193). The total DFT energy (no corrections) is -110.32 eV for the cell shown.



Cr2Ni | PBE | relaxed

Lattice parameters (Å, degrees): 12.0686 12.0686 12.0686 168.54 168.54 16.24
Sites, in units of the cell vectors:
Cr: 0.2957 0.5457 0.7500
Cr: 0.4543 0.7043 0.7500
Cr: 0.5457 0.2957 0.2500
Cr: 0.7043 0.4543 0.2500
Ni: 0.1250 0.8750 0.2500
Ni: 0.8750 0.1250 0.7500

Computed properties:
The calculation puts the energy of formation at 76 kJ/mol of formula units. The symmetry is I4_1/amd (141). The total DFT energy (no corrections) is -48.47 eV for the cell shown.



Cr5Ni | PBE | relaxed

Lattice parameters (Å, degrees): 4.1713 7.1958 7.1958 18.79 90.00 90.00
Sites, in units of the cell vectors:
Cr: 0.0000 0.0000 0.0000
Cr: 0.0000 0.3274 0.3274
Cr: 0.5000 0.2342 0.2342
Cr: 0.5000 0.5715 0.5715
Cr: 0.5000 0.9039 0.9039
Ni: 0.0000 0.6680 0.6680

Computed properties:
The calculation puts the energy of formation at 130 kJ/mol of formula units. The symmetry is Amm2 (38). The total DFT energy (no corrections) is -52.55 eV for the cell shown.



CrNi6 | PBE | relaxed

Lattice parameters (Å, degrees): 6.1084 6.1084 6.1084 37.95 37.95 37.95
Sites, in units of the cell vectors:
Cr: 0.0000 0.0000 0.0000
Ni: 0.1417 0.1417 0.1417
Ni: 0.2869 0.2869 0.2869
Ni: 0.4298 0.4298 0.4298
Ni: 0.5702 0.5702 0.5702
Ni: 0.7131 0.7131 0.7131
Ni: 0.8583 0.8583 0.8583

Computed properties:
The calculation puts the energy of formation at 63 kJ/mol of formula units. The symmetry is R-3m (166). The total DFT energy (no corrections) is -43.66 eV for the cell shown.



Cr3Ni | PBE | relaxed

Lattice parameters (Å, degrees): 4.9375 4.9375 3.9139 90.00 90.00 73.03
Sites, in units of the cell vectors:
Cr: 0.1035 0.8965 0.7500
Cr: 0.1314 0.3954 0.7500
Cr: 0.3954 0.1314 0.2500
Cr: 0.6046 0.8686 0.7500
Cr: 0.8686 0.6046 0.2500
Cr: 0.8965 0.1035 0.2500
Ni: 0.3641 0.6359 0.2500
Ni: 0.6359 0.3641 0.7500

Computed properties:
The calculation puts the energy of formation at 33 kJ/mol of formula units. The symmetry is Cmcm (63). The total DFT energy (no corrections) is -68.62 eV for the cell shown.



Cr2Ni3 | PBE | relaxed

Lattice parameters (Å, degrees): 10.4468 10.4468 10.4468 13.68 13.68 13.68
Sites, in units of the cell vectors:
Cr: 0.0992 0.0992 0.0992
Cr: 0.9008 0.9008 0.9008
Ni: 0.2998 0.2998 0.2998
Ni: 0.5000 0.5000 0.5000
Ni: 0.7002 0.7002 0.7002

Computed properties:
The calculation puts the energy of formation at 40 kJ/mol of formula units. The symmetry is R-3m (166). The total DFT energy (no corrections) is -36.18 eV for the cell shown.



Cr3Ni13 | PBE | relaxed

Lattice parameters (Å, degrees): 7.0020 5.0172 5.0172 90.35 90.00 90.00
Sites, in units of the cell vectors:
Cr: 0.0000 0.0000 0.0000
Cr: 0.2497 0.2564 0.2564
Cr: 0.7503 0.2564 0.2564
Ni: 0.0000 0.0079 0.5032
Ni: 0.0000 0.5032 0.0079
Ni: 0.0000 0.5033 0.5033
Ni: 0.2504 0.2545 0.7554
Ni: 0.2504 0.7554 0.2545
Ni: 0.2497 0.7555 0.7555
Ni: 0.5000 0.0072 0.0072
Ni: 0.5000 0.0067 0.5033
Ni: 0.5000 0.5033 0.0067
Ni: 0.5000 0.5054 0.5054
Ni: 0.7496 0.2545 0.7554
Ni: 0.7496 0.7554 0.2545
Ni: 0.7503 0.7555 0.7555

Computed properties:
The calculation puts the energy of formation at 27 kJ/mol of formula units. The symmetry is Amm2 (38). The total DFT energy (no corrections) is -103.74 eV for the cell shown.



Cr3Ni | PBE | relaxed

Lattice parameters (Å, degrees): 2.3672 4.1775 4.6423 90.00 90.00 90.00
Sites, in units of the cell vectors:
Cr: 0.0000 0.0000 0.0000
Cr: 0.0000 0.5000 0.2932
Cr: 0.5000 0.0000 0.5028
Ni: 0.5000 0.5000 0.8076

Computed properties:
The calculation puts the energy of formation at 71 kJ/mol of formula units. The symmetry is Pmm2 (25). The total DFT energy (no corrections) is -33.92 eV for the cell shown.



Cr3Ni2 | PBE | relaxed

Lattice parameters (Å, degrees): 10.6983 10.6983 10.6983 13.34 13.34 13.34
Sites, in units of the cell vectors:
Cr: 0.0000 0.0000 0.0000
Cr: 0.2013 0.2013 0.2013
Cr: 0.7987 0.7987 0.7987
Ni: 0.3991 0.3991 0.3991
Ni: 0.6009 0.6009 0.6009

Computed properties:
The calculation puts the energy of formation at 83 kJ/mol of formula units. The symmetry is R-3m (166). The total DFT energy (no corrections) is -39.57 eV for the cell shown.



Cr5Ni | PBE | relaxed

Lattice parameters (Å, degrees): 2.3851 2.3851 12.2130 90.00 90.00 90.00
Sites, in units of the cell vectors:
Cr: 0.0000 0.0000 0.0000
Cr: 0.0000 0.0000 0.3440
Cr: 0.0000 0.0000 0.6560
Cr: 0.5000 0.5000 0.1728
Cr: 0.5000 0.5000 0.8272
Ni: 0.5000 0.5000 0.5000

Computed properties:
The calculation puts the energy of formation at 100 kJ/mol of formula units. The symmetry is P4/mmm (123). The total DFT energy (no corrections) is -52.86 eV for the cell shown.



Cr2Ni | PBE | relaxed

Lattice parameters (Å, degrees): 4.4295 4.4295 4.4295 148.74 130.08 60.09
Sites, in units of the cell vectors:
Cr: 0.1673 0.1673 0.0000
Cr: 0.8327 0.8327 0.0000
Ni: 0.5000 0.5000 0.0000

Computed properties:
The calculation puts the energy of formation at 48 kJ/mol of formula units. The symmetry is Immm (71). The total DFT energy (no corrections) is -24.53 eV for the cell shown.